(1)
This record from the Alexandria database describes an optimized crystal structure of Cs2NaBiCl6. The functional is GGA-PBEsol.

Structure (POSCAR):
```
Cs2NaBiCl6
1.0
7.640 0.000 0.000
3.820 6.617 0.000
3.820 2.206 6.238
Cl Cs Bi Na
6 2 1 1
direct
0.752 0.248 0.248
0.248 0.752 0.752
0.752 0.248 0.752
0.752 0.752 0.248
0.248 0.248 0.752
0.248 0.752 0.248
0.750 0.750 0.750
0.250 0.250 0.250
0.000 0.000 0.000
0.500 0.500 0.500
```

Calculated values
Symmetry: Fm-3m, No. 225
Formation energy from raw total energies (eV/atom): -1.604
Final energy (eV per cell): -35.655



(2)
This record from the Alexandria database describes an optimized crystal structure of BaLiRu5O11. The functional is GGA-PBEsol.

Structure (POSCAR):
```
BaLiRu5O11
1.0
-4.873 2.182 1.995
0.387 -1.587 -5.461
-4.356 -12.862 3.430
O Ru Ba Li
22 10 2 2
direct
0.333 0.167 0.081
0.667 0.333 0.585
0.698 0.849 0.250
0.151 0.849 0.250
0.833 0.167 0.081
0.167 0.333 0.581
0.167 0.833 0.919
0.833 0.167 0.419
0.333 0.667 0.085
0.333 0.667 0.415
0.849 0.698 0.750
0.833 0.667 0.081
0.167 0.833 0.581
0.849 0.151 0.750
0.667 0.333 0.915
0.151 0.302 0.250
0.667 0.833 0.581
0.333 0.167 0.419
0.302 0.151 0.750
0.167 0.333 0.919
0.667 0.833 0.919
0.833 0.667 0.419
0.000 0.000 0.158
0.000 0.000 0.842
0.000 0.000 0.658
0.000 0.500 0.000
0.500 0.000 0.500
0.500 0.500 0.500
0.000 0.500 0.500
0.500 0.500 0.000
0.000 0.000 0.342
0.500 0.000 0.000
0.333 0.667 0.750
0.667 0.333 0.250
0.667 0.333 0.750
0.333 0.667 0.250
```

Calculated values
Symmetry: P6_3/mmc, No. 194
Formation energy from raw total energies (eV/atom): -1.318
Final energy (eV per cell): -272.905



(3)
This record from the Alexandria database describes an optimized crystal structure of CoTc2. The functional is GGA-PBEsol.

Structure (POSCAR):
```
CoTc2
1.0
2.564 0.000 0.000
0.000 2.564 0.000
-1.282 -1.282 11.864
Tc Co
4 2
direct
0.674 0.174 0.348
0.826 0.326 0.652
0.424 0.424 0.848
0.576 0.576 0.152
0.250 0.750 0.500
0.000 0.000 0.000
```

Calculated values
Symmetry: I4_1/amd, No. 141
Final energy (eV per cell): -58.888
Formation energy from the elements (eV per atom): 0.28



(4)
This record from the Alexandria database describes an optimized crystal structure of BaSrIn2. The functional is GGA-PBEsol.

Structure (POSCAR):
```
BaSrIn2
1.0
4.104 0.000 0.000
0.000 4.104 0.000
0.000 0.000 8.134
Ba In Sr
1 2 1
direct
0.500 0.500 0.500
0.000 0.000 0.221
0.000 0.000 0.779
0.500 0.500 0.000
```

Calculated values
Symmetry: P4/mmm, No. 123
Final energy (eV per cell): -11.712
Formation energy from the elements (eV per atom): -0.44



(5)
This record from the Alexandria database describes an optimized crystal structure of Ce10Si5Ni. The functional is GGA-PBEsol.

Structure (POSCAR):
```
Ce10Si5Ni
1.0
7.485 -0.092 -0.153
-3.828 7.346 0.068
-0.171 3.845 6.422
Ce Si Ni
10 5 1
direct
0.042 0.000 0.531
0.468 0.284 0.532
0.331 0.319 0.014
0.184 0.716 0.816
0.840 0.330 0.160
0.666 0.681 0.988
0.986 0.319 0.669
0.469 0.000 0.958
0.510 0.670 0.490
0.012 0.681 0.334
0.637 0.000 0.603
0.253 0.500 0.247
0.397 0.000 0.363
0.753 0.500 0.747
0.867 0.000 0.133
0.085 0.000 0.915
```

Calculated values
Symmetry: Fmm2, No. 42
Formation energy from raw total energies (eV/atom): -0.466
Final energy (eV per cell): -108.303



(6)
This record from the Alexandria database describes an optimized crystal structure of Y2BiIr. The functional is GGA-PBEsol.

Structure (POSCAR):
```
Y2BiIr
1.0
6.489 -0.053 0.000
-3.144 5.676 0.000
-1.672 -2.812 5.604
Y Ir Bi
4 2 2
direct
0.625 0.177 0.052
0.823 0.875 0.448
0.427 0.375 0.552
0.125 0.573 0.948
0.500 0.500 0.000
0.750 0.250 0.500
0.250 0.750 0.500
0.000 0.000 0.000
```

Calculated values
Symmetry: I-42d, No. 122
Final energy (eV per cell): -58.705
Formation energy from the elements (eV per atom): -0.40



(7)
This record from the Alexandria database describes an optimized crystal structure of RbMoPt2Rh. The functional is GGA-PBEsol.

Structure (POSCAR):
```
RbMoPt2Rh
1.0
4.722 0.000 0.000
0.000 4.722 0.000
0.000 0.000 5.228
Rh Rb Pt Mo
1 1 2 1
direct
0.500 0.500 0.500
0.000 0.000 0.500
0.500 0.000 0.000
0.000 0.500 0.000
0.000 0.000 0.000
```

Calculated values
Symmetry: P4/mmm, No. 123
Final energy (eV per cell): -25.760
Formation energy from the elements (eV per atom): 1.82



(8)
This record from the Alexandria database describes an optimized crystal structure of LiScRe2. The functional is GGA-PBEsol.

Structure (POSCAR):
```
LiScRe2
1.0
-1.325 2.377 0.379
0.097 -0.629 4.278
5.060 1.696 0.135
Li Re Sc
1 2 1
direct
0.201 0.500 0.750
0.770 0.500 0.210
0.036 0.000 0.031
0.494 0.000 0.509
```

Calculated values
Symmetry: Pm, No. 6
Final energy (eV per cell): -34.650
Formation energy from the elements (eV per atom): 0.15



(9)
This record from the Alexandria database describes an optimized crystal structure of NbTcSbI2. The functional is GGA-PBEsol.

Structure (POSCAR):
```
NbTcSbI2
1.0
5.012 0.000 0.000
0.000 5.294 0.000
0.000 0.000 5.294
Tc Nb Sb I
1 1 1 2
direct
0.000 0.000 0.000
0.500 0.500 0.500
0.500 0.000 0.000
0.000 0.000 0.500
0.000 0.500 0.000
```

Calculated values
Symmetry: P4/mmm, No. 123
Formation energy from raw total energies (eV/atom): 1.223
Final energy (eV per cell): -24.064



(10)
This record from the Alexandria database describes an optimized crystal structure of Rb3TiSe. The functional is GGA-PBEsol.

Structure (POSCAR):
```
Rb3TiSe
1.0
6.508 0.000 0.000
0.000 6.508 0.000
0.000 0.000 6.508
Ti Rb Se
1 3 1
direct
0.500 0.500 0.500
0.000 0.000 0.500
0.500 0.000 0.000
0.000 0.500 0.000
0.000 0.000 0.000
```

Calculated values
Symmetry: Pm-3m, No. 221
Formation energy from raw total energies (eV/atom): 0.323
Final energy (eV per cell): -13.632



(11)
This record from the Alexandria database describes an optimized crystal structure of Mg2RhSe. The functional is GGA-PBEsol.

Structure (POSCAR):
```
Mg2RhSe
1.0
-2.645 -2.128 -0.516
-0.137 -3.003 1.660
-4.480 1.408 5.728
Rh Se Mg
1 1 2
direct
0.500 0.500 0.500
0.000 0.000 0.000
0.749 0.749 0.752
0.251 0.251 0.248
```

Calculated values
Symmetry: R-3m, No. 166
Formation energy from raw total energies (eV/atom): -0.341
Final energy (eV per cell): -16.789



(12)
This record from the Alexandria database describes an optimized crystal structure of BaNb3Pt. The functional is GGA-PBEsol.

Structure (POSCAR):
```
BaNb3Pt
1.0
5.018 0.000 0.000
0.000 5.018 0.000
0.000 0.000 5.018
Nb Ba Pt
3 1 1
direct
0.500 0.000 0.000
0.000 0.500 0.000
0.000 0.000 0.500
0.500 0.500 0.500
0.000 0.000 0.000
```

Calculated values
Symmetry: Pm-3m, No. 221
Final energy (eV per cell): -36.681
Formation energy from the elements (eV per atom): 0.98



(13)
This record from the Alexandria database describes an optimized crystal structure of ZrPb2W. The functional is GGA-PBEsol.

Structure (POSCAR):
```
ZrPb2W
1.0
-2.642 0.568 2.086
-2.073 -1.599 -2.191
1.276 -6.173 3.297
Pb Zr W
2 1 1
direct
0.000 0.000 0.770
0.000 0.000 0.230
0.500 0.500 0.500
0.500 0.500 0.000
```

Calculated values
Symmetry: P4/mmm, No. 123
Final energy (eV per cell): -28.752
Formation energy from the elements (eV per atom): 0.54



(14)
This record from the Alexandria database describes an optimized crystal structure of Cd2RhAu. The functional is GGA-PBEsol.

Structure (POSCAR):
```
Cd2RhAu
1.0
-1.311 2.711 -0.621
0.715 -0.478 -3.596
-5.265 -2.705 -0.687
Cd Au Rh
2 1 1
direct
0.000 0.000 0.238
0.000 0.000 0.762
0.500 0.500 0.500
0.500 0.500 0.000
```

Calculated values
Symmetry: Pmmm, No. 47
Final energy (eV per cell): -15.012
Formation energy from the elements (eV per atom): -0.14



(15)
This record from the Alexandria database describes an optimized crystal structure of Li2CdGeS4. The functional is GGA-PBEsol.

Structure (POSCAR):
```
Li2CdGeS4
1.0
6.371 0.000 0.000
0.000 6.822 0.000
0.000 0.000 7.699
Cd S Li Ge
2 8 4 2
direct
0.373 0.852 0.000
0.873 0.148 0.500
0.253 0.667 0.731
0.224 0.193 0.000
0.253 0.667 0.269
0.724 0.807 0.500
0.271 0.137 0.500
0.753 0.333 0.769
0.771 0.863 0.000
0.753 0.333 0.231
0.376 0.330 0.746
0.876 0.670 0.246
0.876 0.670 0.754
0.376 0.330 0.254
0.875 0.173 0.000
0.375 0.827 0.500
```

Calculated values
Symmetry: Pmn2_1, No. 31
Formation energy from raw total energies (eV/atom): -0.857
Final energy (eV per cell): -68.917



(16)
This record from the Alexandria database describes an optimized crystal structure of InTcAgPt2. The functional is GGA-PBEsol.

Structure (POSCAR):
```
InTcAgPt2
1.0
-3.454 2.147 -2.662
0.081 -3.731 -3.114
-3.457 -2.282 2.645
In Pt Tc Ag
1 2 1 1
direct
0.000 0.000 0.000
0.500 0.000 0.000
0.000 0.500 0.000
0.000 0.000 0.500
0.500 0.500 0.500
```

Calculated values
Symmetry: P4/mmm, No. 123
Final energy (eV per cell): -22.916
Formation energy from the elements (eV per atom): 1.71



(17)
This record from the Alexandria database describes an optimized crystal structure of ZrBeSi. The functional is GGA-PBEsol.

Structure (POSCAR):
```
ZrBeSi
1.0
-3.286 0.520 -1.654
0.269 -2.281 2.921
-1.346 5.469 4.395
Be Si Zr
2 2 2
direct
0.667 0.333 0.750
0.333 0.667 0.250
0.333 0.667 0.750
0.667 0.333 0.250
0.000 0.000 0.500
0.000 0.000 0.000
```

Calculated values
Symmetry: P6_3/mmc, No. 194
Formation energy from raw total energies (eV/atom): -0.797
Final energy (eV per cell): -42.454



(18)
This record from the Alexandria database describes an optimized crystal structure of LiLa2Br. The functional is GGA-PBEsol.

Structure (POSCAR):
```
LiLa2Br
1.0
4.371 0.000 0.000
0.000 4.371 0.000
-2.186 -2.186 5.438
La Br Li
2 1 1
direct
0.750 0.250 0.500
0.000 0.000 0.000
0.250 0.750 0.500
0.500 0.500 0.000
```

Calculated values
Symmetry: I-4m2, No. 119
Formation energy from raw total energies (eV/atom): -0.319
Final energy (eV per cell): -15.807



(19)
This record from the Alexandria database describes an optimized crystal structure of TbCu. The functional is GGA-PBEsol.

Structure (POSCAR):
```
TbCu
1.0
3.422 0.000 0.000
0.000 3.422 0.000
0.000 0.000 3.422
Tb Cu
1 1
direct
0.000 0.000 0.000
0.500 0.500 0.500
```

Calculated values
Symmetry: Pm-3m, No. 221
Final energy (eV per cell): -9.775
Formation energy from the elements (eV per atom): -0.22



(20)
This record from the Alexandria database describes an optimized crystal structure of Zn2RePOs. The functional is GGA-PBEsol.

Structure (POSCAR):
```
Zn2RePOs
1.0
-0.147 -4.250 -0.471
4.362 -0.136 -0.133
0.117 -0.485 4.337
Zn Os Re P
2 1 1 1
direct
0.000 0.500 0.000
0.000 0.000 0.500
0.500 0.000 0.000
0.500 0.500 0.500
0.000 0.000 0.000
```

Calculated values
Symmetry: P4/mmm, No. 123
Final energy (eV per cell): -27.788
Formation energy from the elements (eV per atom): 1.34